4
Lattice="5.058 0.000 0.000 2.529 4.380 0.000 2.529 1.460 4.130" Properties=species:S:1:pos:R:3 comment="CaTbCdRu PBE optimized geometry" delta_e_f_ev_per_atom=-0.10 space_group="F-43m, No. 216" m_tot_mub_per_atom=0.000 dos_ef_per_ev_atom=0.7158 pbc="T T T"
Ru 7.587 4.380 3.097
Ca 5.058 2.920 2.065
Tb 0.000 0.000 0.000
Cd 2.529 1.460 1.032